PuVP2 | PBE | optimized geometry

magnetic moment: 13.532 μB per cell
E: -9.18 eV/atom
distance to the lowest polymorph of the same formula: 244.1 meV per atom
formation energy: -608 meV per atom

Cell lengths 3.5050, 3.5050, 12.4255 Å; angles 90.00, 90.00, 90.00 degrees
Closest atoms and distances in Å follow each position.
Space group I-4m2 (No. 119)
Asymmetric unit:
Pu 0.0000 0.0000 0.0000  8 P 2.94
V 0.0000 0.5000 0.7500  4 P 2.32
P 0.0000 0.0000 0.3729  2 V 2.32